Entry from the Alexandria database: an optimized crystal structure of LiYBCl2 (PBE-GGA).

Calculated values
For the magnetic moment, the calculation gives 1.0 μB/cell. As for the raw formation energy: 0.8 eV/f.u. For the density, the calculation gives 1.63 Mg/m³.

Cell: 5.144 5.144 6.818 Å, 90.00 90.00 90.00°
Space group P4/mmm (No. 123)
Inequivalent atoms, fractional coordinates:
Li  0.000  0.000  0.000
Y  0.000  0.000  0.500
B  0.500  0.500  0.000
Cl  0.000  0.500  0.500


Entry from the Alexandria database: an optimized crystal structure of Tl3Tc2PbO8 (PBE-GGA).

Calculated values
For the magnetic moment, the calculation gives 3.0 μB/cell. As for the raw formation energy: -15.5 eV/f.u. For the density, the calculation gives 6.93 Mg/m³.

Cell: 6.2734 6.2734 8.0495 Å, 90.00 90.00 120.00°
Space group P-3m1 (No. 164)
Inequivalent atoms, fractional coordinates:
Tl  0.0000  0.0000  0.0000
Tl  0.3333  0.6667  0.6768
Tc  0.3333  0.6667  0.2094
Pb  0.0000  0.0000  0.5000
O  0.1764  0.3528  0.2908
O  0.3333  0.6667  0.9879


Entry from the Alexandria database: an optimized crystal structure of SrCaOs2 (PBE-GGA).

Calculated values
For the magnetic moment, the calculation gives 0.0 μB/cell. The relative energy among the computed polymorphs is 406.1 meV per atom. For the density, the calculation gives 9.34 Mg/m³.

Cell: 2.939 4.848 6.410 Å, 90.00 98.41 90.00°
Space group P2/m (No. 10)
Inequivalent atoms, fractional coordinates:
Sr  0.000  0.000  0.000
Ca  0.500  0.000  0.500
Os  0.274  0.500  0.670


Entry from the Alexandria database: an optimized crystal structure of NbSnMoOs (PBE-GGA).

Calculated values
For the magnetic moment, the calculation gives 0.0 μB/cell. The calculation puts the uncorrected energy at -8.99 eV/atom. For the density, the calculation gives 12.15 Mg/m³.

Cell: 6.481 6.481 6.481 Å, 90.00 90.00 90.00°
Space group F-43m (No. 216)
Inequivalent atoms, fractional coordinates:
Nb  0.000  0.000  0.000
Sn  0.000  0.000  0.500
Mo  0.250  0.250  0.750
Os  0.250  0.250  0.250


Entry from the Alexandria database: an optimized crystal structure of PmDyCu (PBE-GGA).

Calculated values
For the magnetic moment, the calculation gives 0.0 μB/cell. The relative energy among the computed polymorphs is 0.0 meV per atom. For the density, the calculation gives 7.96 Mg/m³.

Cell: 3.510 6.725 7.076 Å, 105.69 90.07 105.10°
Space group P-1 (No. 2)
Inequivalent atoms, fractional coordinates:
Pm  0.142  0.284  0.072
Dy  0.137  0.275  0.567
Cu  0.492  0.990  0.267


Entry from the Alexandria database: an optimized crystal structure of Na2Hf2Al (PBE-GGA).

Calculated values
For the magnetic moment, the calculation gives 0.0 μB/cell. The relative energy among the computed polymorphs is 0.0 meV per atom. For the density, the calculation gives 4.99 Mg/m³.

Cell: 3.900 3.900 18.816 Å, 90.00 90.00 90.00°
Space group I4/mmm (No. 139)
Inequivalent atoms, fractional coordinates:
Na  0.000  0.000  0.095
Hf  0.000  0.500  0.250
Al  0.000  0.000  0.500


DOS at the Fermi energy in states/eV per atom, matching the order above: 0.56, 0.51, 1.28, 0.72, 1.06, 0.85